This record from Alexandria via LeMat-Bulk describes CdMo2W after structural relaxation. The functional is PBEsol.

abc: 3.315 3.315 6.037
angles: 90.00 90.00 90.00
Element x y z (fractional)
Cd (0.000, 0.000, 0.000)
Mo (0.000, 0.000, 0.498)
Mo (0.500, 0.500, 0.283)
W (0.500, 0.500, 0.713)

=====

This record from Alexandria via LeMat-Bulk describes YCdMo2 after structural relaxation. The functional is PBEsol.

abc: 4.718 4.718 4.718
angles: 60.00 60.00 60.00
Element x y z (fractional)
Y (0.000, 0.000, 0.000)
Cd (0.250, 0.250, 0.250)
Mo (0.500, 0.500, 0.500)
Mo (0.750, 0.750, 0.750)

=====

This record from Alexandria via LeMat-Bulk describes YCdMo2 after structural relaxation. The functional is PBEsol.

abc: 5.477 5.477 5.477
angles: 136.89 136.89 62.61
Element x y z (fractional)
Y (0.000, 0.000, 0.000)
Cd (0.500, 0.500, 0.000)
Mo (0.250, 0.750, 0.500)
Mo (0.750, 0.250, 0.500)

=====

This record from Alexandria via LeMat-Bulk describes YCdMo after structural relaxation. The functional is PBEsol.

abc: 7.268 7.258 2.944
angles: 78.49 78.12 23.39
Element x y z (fractional)
Y (0.000, 0.000, 0.000)
Cd (0.683, 0.683, 0.317)
Mo (0.335, 0.335, 0.665)

=====

Number 1: E -9.20 eV per atom. Number 2: E -7.52 eV per atom. Number 3: E -7.36 eV per atom. Number 4: E -6.27 eV per atom.